(1)
## HgHW3 (PBEsol)

Data for a geometry-optimized HgHW3 structure.

- Calculated total energy: -5.09 eV per atom
- D(E_F): 4.55 states/eV/cell

a = 4.8997 Å, b = 4.8997 Å, c = 4.8997 Å
α = 90.00°, β = 90.00°, γ = 90.00°
With the nearest neighbours (Å) after each atom.
Fractional coordinates of all 5 atoms:
Hg 0.0000 0.0000 0.0000  6 W 2.45
H 0.5000 0.5000 0.5000  12 W 3.46
W 0.0000 0.0000 0.5000  2 Hg 2.45
W 0.0000 0.5000 0.0000  2 Hg 2.45
W 0.5000 0.0000 0.0000  2 Hg 2.45

---

(2)
## YHgH2 (PBEsol)

Data for a geometry-optimized YHgH2 structure.

- Calculated total energy: -3.69 eV per atom
- D(E_F): 1.61 states/eV/cell

a = 4.2062 Å, b = 4.2062 Å, c = 4.2062 Å
α = 60.00°, β = 60.00°, γ = 60.00°
With the nearest neighbours (Å) after each atom.
Fractional coordinates of all 4 atoms:
Y 0.0000 0.0000 0.0000  8 H 2.58
Hg 0.5000 0.5000 0.5000  8 H 2.58
H 0.2500 0.2500 0.2500  4 Hg 2.58, 4 Y 2.58
H 0.7500 0.7500 0.7500  4 Hg 2.58, 4 Y 2.58

---

(3)
## Y2HgH2 (PBEsol)

Data for a geometry-optimized Y2HgH2 structure.

- Calculated total energy: -4.89 eV per atom
- D(E_F): 1.46 states/eV/cell

a = 6.5646 Å, b = 6.5646 Å, c = 6.5646 Å
α = 147.47°, β = 147.47°, γ = 46.67°
With the nearest neighbours (Å) after each atom.
Fractional coordinates of all 5 atoms:
Y 0.1498 0.1498 0.0000  4 H 2.20
Y 0.8502 0.8502 0.0000  4 H 2.20
Hg 0.5000 0.5000 0.0000  8 Y 3.17, 8 H 3.53
H 0.2500 0.7500 0.5000  4 Y 2.20
H 0.7500 0.2500 0.5000  4 Y 2.20

---

(4)
## ZnHgH2 (PBEsol)

Data for a geometry-optimized ZnHgH2 structure.

- Calculated total energy: -2.00 eV per atom

a = 5.4159 Å, b = 5.4159 Å, c = 5.4159 Å
α = 60.00°, β = 60.00°, γ = 60.00°
With the nearest neighbours (Å) after each atom.
Fractional coordinates of all 8 atoms:
Zn 0.1250 0.1250 0.1250  4 H 1.66
Zn 0.8750 0.8750 0.8750  4 H 1.66
Hg 0.3750 0.3750 0.3750  12 H 3.18, 4 Zn 3.32, 4 Hg 3.32
Hg 0.6250 0.6250 0.6250  12 H 3.18, 4 Zn 3.32, 4 Hg 3.32
H 0.0000 0.0000 0.0000  2 Zn 1.66
H 0.0000 0.0000 0.5000  2 Zn 1.66
H 0.0000 0.5000 0.0000  2 Zn 1.66
H 0.5000 0.0000 0.0000  2 Zn 1.66

---

(5)
## Zr2HgH (PBEsol)

Data for a geometry-optimized Zr2HgH structure.

- Calculated total energy: -5.34 eV per atom
- D(E_F): 3.00 states/eV/cell

a = 4.6555 Å, b = 4.6555 Å, c = 4.6555 Å
α = 60.00°, β = 60.00°, γ = 60.00°
With the nearest neighbours (Å) after each atom.
Fractional coordinates of all 4 atoms:
Zr 0.2500 0.2500 0.2500  4 Hg 2.85, 4 H 2.85
Zr 0.7500 0.7500 0.7500  4 Hg 2.85, 4 H 2.85
Hg 0.0000 0.0000 0.0000  8 Zr 2.85
H 0.5000 0.5000 0.5000  8 Zr 2.85

---

(6)
## HoH3 (PBEsol)

Data for a geometry-optimized HoH3 structure.

- Calculated total energy: -4.37 eV per atom
- D(E_F): 0.38 states/eV/cell

a = 6.1741 Å, b = 6.1741 Å, c = 6.3993 Å
α = 90.00°, β = 90.00°, γ = 120.00°
With the nearest neighbours (Å) after each atom.
Fractional coordinates of all 24 atoms:
Ho 0.0000 0.3364 0.2500  9 H 2.08-2.27
Ho 0.0000 0.6636 0.7500  9 H 2.08-2.27
Ho 0.3364 0.0000 0.2500  9 H 2.08-2.27
Ho 0.3364 0.3364 0.7500  9 H 2.08-2.27
Ho 0.6636 0.0000 0.7500  9 H 2.08-2.27
Ho 0.6636 0.6636 0.2500  9 H 2.08-2.27
H 0.0000 0.0000 0.2500  3 Ho 2.08, 6 H 2.30
H 0.0000 0.0000 0.7500  3 Ho 2.08, 6 H 2.30
H 0.0253 0.3477 0.5938  2 H 2.02-2.24, 2 Ho 2.20
H 0.0253 0.6776 0.0938  2 H 2.02-2.24, 2 Ho 2.20
H 0.3224 0.3477 0.0938  2 H 2.02-2.24, 2 Ho 2.20
H 0.3224 0.9747 0.5938  2 H 2.02-2.24, 2 Ho 2.20
H 0.3333 0.6667 0.3223  3 Ho 2.10, 3 H 2.24
H 0.3333 0.6667 0.8223  3 Ho 2.10, 3 H 2.24
H 0.3477 0.0253 0.9062  2 H 2.02-2.24, 2 Ho 2.20
H 0.3477 0.3224 0.4062  2 H 2.02-2.24, 2 Ho 2.20
H 0.6523 0.6776 0.5938  2 H 2.02-2.24, 2 Ho 2.20
H 0.6523 0.9747 0.0938  2 H 2.02-2.24, 2 Ho 2.20
H 0.6667 0.3333 0.1777  3 Ho 2.10, 3 H 2.24
H 0.6667 0.3333 0.6777  3 Ho 2.10, 3 H 2.24
H 0.6776 0.0253 0.4062  2 H 2.02-2.24, 2 Ho 2.20
H 0.6776 0.6523 0.9062  2 H 2.02-2.24, 2 Ho 2.20
H 0.9747 0.3224 0.9062  2 H 2.02-2.24, 2 Ho 2.20
H 0.9747 0.6523 0.4062  2 H 2.02-2.24, 2 Ho 2.20